1.
Computed, not measured: crystalline Li5IBr4 at its relaxed geometry at the GGA-PBE level of DFT.

As for the density of states at the Fermi level: 0.00 states/eV/f.u. As for the crystal system: tetragonal. As for the energy relative to the elements, uncorrected: -139.1 kJ per mole of atoms.

Cell: 14.2937 14.2937 14.2937 Å, 163.93 163.93 22.80°
Last column: nearest neighbours and their distance in Å.
Atoms (fractional coordinates):
Li (0.0000, 0.0000, 0.0000)  4 I 2.83, 2 Br 2.92
Li (0.2009, 0.2009, 0.0000)  6 Br 2.71-2.83
Li (0.3931, 0.3931, 0.0000)  5 Br 2.66-2.83
Li (0.6069, 0.6069, 0.0000)  5 Br 2.66-2.83
Li (0.7991, 0.7991, 0.0000)  6 Br 2.71-2.83
I (0.5000, 0.5000, 0.0000)  6 Li 2.83-3.00
Br (0.1043, 0.1043, 0.0000)  6 Li 2.71-2.92
Br (0.2981, 0.2981, 0.0000)  6 Li 2.66-2.83
Br (0.7019, 0.7019, 0.0000)  6 Li 2.66-2.83
Br (0.8957, 0.8957, 0.0000)  6 Li 2.71-2.92

=====

2.
Computed, not measured: crystalline Li8I6Br at its relaxed geometry at the GGA-PBE level of DFT.

As for the density of states at the Fermi level: 4.48 states/eV/f.u. As for the crystal system: trigonal. As for the energy relative to the elements, uncorrected: -98.8 kJ per mole of atoms.

Cell: 8.1943 8.1943 8.1943 Å, 100.56 100.56 100.56°
Last column: nearest neighbours and their distance in Å.
Atoms (fractional coordinates):
Li (0.1733, 0.4467, 0.6227)  4 I 2.81-2.87
Li (0.2103, 0.2103, 0.2103)  1 Br 2.38
Li (0.3773, 0.8267, 0.5533)  4 I 2.81-2.87
Li (0.4467, 0.6227, 0.1733)  4 I 2.81-2.87
Li (0.5533, 0.3773, 0.8267)  4 I 2.81-2.87
Li (0.6227, 0.1733, 0.4467)  4 I 2.81-2.87
Li (0.7897, 0.7897, 0.7897)  1 Br 2.38
Li (0.8267, 0.5533, 0.3773)  4 I 2.81-2.87
I (0.1514, 0.5554, 0.3072)  5 Li 2.81-2.95
I (0.3072, 0.1514, 0.5554)  5 Li 2.81-2.95
I (0.4446, 0.6928, 0.8486)  5 Li 2.81-2.95
I (0.5554, 0.3072, 0.1514)  5 Li 2.81-2.95
I (0.6928, 0.8486, 0.4446)  5 Li 2.81-2.95
I (0.8486, 0.4446, 0.6928)  5 Li 2.81-2.95
Br (0.0000, 0.0000, 0.0000)  2 Li 2.38

=====

3.
Computed, not measured: crystalline LiI2Br at its relaxed geometry at the GGA-PBE level of DFT.

As for the crystal system: monoclinic. As for the energy relative to the elements, uncorrected: -65.6 kJ per mole of atoms.

Cell: 8.8929 8.8929 5.3452 Å, 106.51 106.51 57.05°
Last column: nearest neighbours and their distance in Å.
Atoms (fractional coordinates):
Li (0.1285, 0.8715, 0.7500)  3 Br 2.57-2.70
Li (0.8715, 0.1285, 0.2500)  3 Br 2.57-2.70
I (0.0597, 0.5843, 0.4030)  1 I 2.77, 1 Li 2.95
I (0.4157, 0.9403, 0.0970)  1 I 2.77, 1 Li 2.95
I (0.5843, 0.0597, 0.9030)  1 I 2.77, 1 Li 2.95
I (0.9403, 0.4157, 0.5970)  1 I 2.77, 1 Li 2.95
Br (0.1741, 0.8259, 0.2500)  3 Li 2.57-2.70
Br (0.8259, 0.1741, 0.7500)  3 Li 2.57-2.70

=====

4.
Computed, not measured: crystalline Li3IBr at its relaxed geometry at the GGA-PBE level of DFT.

As for the density of states at the Fermi level: 2.54 states/eV/f.u. As for the crystal system: cubic. As for the energy relative to the elements, uncorrected: -73.4 kJ per mole of atoms.

Cell: 5.1115 5.1115 5.1115 Å, 90.00 90.00 90.00°
Last column: nearest neighbours and their distance in Å.
Atoms (fractional coordinates):
Li (0.0000, 0.0000, 0.5000)  2 Br 2.56
Li (0.0000, 0.5000, 0.0000)  2 Br 2.56
Li (0.5000, 0.0000, 0.0000)  2 Br 2.56
I (0.5000, 0.5000, 0.5000)  12 Li 3.61
Br (0.0000, 0.0000, 0.0000)  6 Li 2.56

=====

5.
Computed, not measured: crystalline Li2IBr2 at its relaxed geometry at the GGA-PBE level of DFT.

As for the density of states at the Fermi level: 3.38 states/eV/f.u. As for the crystal system: tetragonal. As for the energy relative to the elements, uncorrected: -96.9 kJ per mole of atoms.

Cell: 9.9536 9.9536 9.9536 Å, 155.33 155.33 35.17°
Last column: nearest neighbours and their distance in Å.
Atoms (fractional coordinates):
Li (0.2500, 0.7500, 0.5000)  4 Br 2.51
Li (0.7500, 0.2500, 0.5000)  4 Br 2.51
I (0.0000, 0.0000, 0.0000)  4 I 4.25, 8 Br 4.54
Br (0.3205, 0.3205, 0.0000)  4 Li 2.51
Br (0.6795, 0.6795, 0.0000)  4 Li 2.51

=====

6.
Computed, not measured: crystalline LiI2Br at its relaxed geometry at the GGA-PBE level of DFT.

As for the crystal system: triclinic. As for the energy relative to the elements, uncorrected: -67.9 kJ per mole of atoms.

Cell: 4.4410 5.5704 12.6805 Å, 90.47 93.02 94.16°
Last column: nearest neighbours and their distance in Å.
Atoms (fractional coordinates):
Li (0.0000, 0.0000, 0.0000)  3 Br 2.51-2.57
Li (0.4751, 0.4785, 0.8507)  3 Br 2.55-2.56
I (0.0732, 0.6577, 0.3698)  1 I 2.79
I (0.3012, 0.1115, 0.6824)  1 I 2.80, 1 Li 2.98
I (0.5858, 0.3915, 0.5290)  1 I 2.80
I (0.7790, 0.9239, 0.2162)  1 I 2.79, 1 Li 2.98
Br (0.5165, 0.2205, 0.0161)  3 Li 2.52-2.57
Br (0.9968, 0.7067, 0.8486)  3 Li 2.51-2.56

=====

Question: What is the formula in the fourth record?
Answer: Li3IBr

=====

Question: Which of these has the highest energy relative to the elements, uncorrected?
Answer: number 3